(1)
## CePm3Pr3S8 (PBE)

Data for a relaxed structure of CePm3Pr3S8.

```
CePm3Pr3S8
1.0
8.1193 0.0000 0.0000
-4.0597 7.0314 -0.0242
0.0000 -4.6648 6.6653
Ce Pm Pr S
1 3 3 8
Cartesian
0.0000 -2.3324 3.3327
4.0597 -2.3324 3.3327
2.0298 1.1833 3.3205
-2.0298 1.1833 3.3206
0.0000 0.0000 0.0000
-2.0298 3.5157 -0.0121
2.0298 3.5157 -0.0121
0.0000 2.3497 1.6947
4.0597 0.0170 4.9464
4.0596 2.3439 1.6924
0.0000 0.0227 4.9487
6.0847 -1.1633 1.7046
-2.0250 3.5299 4.9365
2.0346 -1.1633 1.7046
2.0250 3.5299 4.9364
```

Results
raw formation energy = -2.026 eV/atom
total DFT energy (no corrections) = -6.5290 eV per atom
space group = R-3m (166)



(2)
## CePm2Pr3S6 (PBE)

Data for a relaxed structure of CePm2Pr3S6.

```
CePm2Pr3S6
1.0
7.0434 -0.0070 -0.0024
-3.5261 6.0973 -0.0024
-1.1755 -2.0354 6.6529
Ce Pm Pr S
1 2 3 6
Cartesian
0.0000 0.0000 0.0000
-0.0077 4.0653 -0.0024
3.5251 2.0250 -0.0024
-2.3289 4.0487 3.3241
4.6708 0.0061 3.3241
1.1709 2.0274 3.3241
3.5114 2.0332 5.0345
2.3486 4.0666 1.6221
-1.1696 2.0216 1.6137
0.0063 4.0576 5.0345
-0.0067 -0.0117 5.0261
2.3356 -0.0027 1.6137
```

Results
raw formation energy = -2.035 eV/atom
total DFT energy (no corrections) = -6.5799 eV per atom
space group = C2/m (12)



(3)
## Ce3PmPr4S8 (PBE)

Data for a relaxed structure of Ce3PmPr4S8.

```
Ce3PmPr4S8
1.0
8.1346 0.0000 0.0000
0.0000 8.1332 -0.0049
-4.0673 -4.0624 5.7540
Ce Pm Pr S
3 1 4 8
Cartesian
4.0673 4.0666 -0.0025
2.0336 2.0354 2.8745
-2.0336 2.0354 2.8745
0.0000 4.0666 -0.0025
4.0673 0.0000 0.0000
2.0336 -2.0312 2.8770
0.0000 0.0000 0.0000
-2.0336 -2.0312 2.8770
-2.0317 2.0019 5.7232
0.0000 4.0303 2.8496
0.0000 0.0368 2.8998
2.0317 2.0019 5.7232
2.0356 2.0689 0.0258
4.0673 4.0340 2.8493
4.0673 0.0406 2.8995
6.0990 2.0689 0.0258
```

Results
raw formation energy = -2.036 eV/atom
total DFT energy (no corrections) = -6.7041 eV per atom
space group = R-3m (166)



(4)
## CePm2PrS4 (PBE)

Data for a relaxed structure of CePm2PrS4.

```
CePm2PrS4
1.0
-0.9422 -2.2830 3.1930
5.9326 -3.6486 -0.8582
1.2202 5.4557 4.2609
Ce Pm Pr S
1 2 1 4
Cartesian
2.4952 -2.9658 1.1674
0.1390 1.5863 3.7270
3.5764 0.9036 1.7014
0.0000 0.0000 0.0000
1.3487 -0.6850 2.4599
4.8619 0.2091 4.1359
2.4103 3.1615 2.9717
4.7425 -1.3543 0.4310
```

Results
raw formation energy = -2.037 eV/atom
total DFT energy (no corrections) = -6.6278 eV per atom
space group = P2/m (10)



(5)
## Ce3Pm2PrS6 (PBE)

Data for a relaxed structure of Ce3Pm2PrS6.

```
Ce3Pm2PrS6
1.0
-3.3801 -2.0999 5.7626
5.8007 -3.3328 -2.0702
2.8561 5.9287 2.4144
Ce Pm Pr S
3 2 1 6
Cartesian
5.7093 -0.1644 0.4334
-0.4326 0.6604 5.6734
2.6384 0.2480 3.0534
2.7412 -2.9220 0.5400
-0.3206 -2.5108 3.1523
0.0000 0.0000 0.0000
2.3997 0.5797 5.8843
2.5247 -2.5699 3.3637
2.8770 -0.0837 0.2225
5.4908 0.1646 3.2471
2.7520 3.0658 2.7431
-0.2141 0.3314 2.8597
```

Results
raw formation energy = -2.041 eV/atom
total DFT energy (no corrections) = -6.7786 eV per atom
space group = C2/m (12)



(6)
## Ce2Pm3PrS6 (PBE)

Data for a relaxed structure of Ce2Pm3PrS6.

```
Ce2Pm3PrS6
1.0
6.9975 -0.0038 -0.0016
-3.5003 6.0591 -0.0016
-1.1683 -2.0229 6.6164
Ce Pm Pr S
2 3 1 6
Cartesian
0.0011 4.0369 -0.0016
3.4961 2.0185 -0.0016
-2.3670 4.0558 3.3066
4.6959 -0.0233 3.3066
1.1645 2.0163 3.3066
0.0000 0.0000 0.0000
3.5118 1.9884 4.9418
2.3159 4.0100 1.6520
-1.1829 2.0441 1.6715
-0.0327 4.0355 4.9418
0.0130 0.0225 4.9613
2.3617 -0.0030 1.6715
```

Results
raw formation energy = -2.042 eV/atom
total DFT energy (no corrections) = -6.6802 eV per atom
space group = C2/m (12)



(7)
## Ce4PmPr3S8 (PBE)

Data for a relaxed structure of Ce4PmPr3S8.

```
Ce4PmPr3S8
1.0
-5.9440 -4.9475 -2.4699
2.2353 -5.4642 5.5661
-1.7219 7.6101 2.2423
Ce Pm Pr S
4 1 3 8
Cartesian
-2.9720 -2.4738 -1.2349
-3.8329 1.3313 -0.1138
0.0000 0.0000 0.0000
-0.8609 3.8050 1.1211
1.1176 -2.7321 2.7830
-1.8544 -5.2059 1.5481
-2.7153 -1.4008 2.6692
0.2567 1.0729 3.9042
0.1933 -5.3252 3.5897
-0.6605 -1.5534 4.7009
-1.7822 1.2147 1.8556
-2.8051 -7.8209 2.3438
-2.6255 5.0193 2.9946
-3.6484 -4.0164 3.4828
-4.7701 -1.2483 0.6375
-5.6239 2.5235 1.7487
```

Results
raw formation energy = -2.037 eV/atom
total DFT energy (no corrections) = -6.7775 eV per atom
space group = R-3m (166)



(8)
## CePmPr2S4 (PBE)

Data for a relaxed structure of CePmPr2S4.

```
CePmPr2S4
1.0
4.0563 0.0000 0.0000
0.0000 7.0508 0.1280
0.0000 -2.4567 6.6113
Ce Pm Pr S
1 1 2 4
Cartesian
2.0281 3.5254 0.0640
0.0000 0.0000 0.0000
2.0281 -1.2284 3.3057
0.0000 2.2970 3.3697
2.0281 1.1527 1.6399
2.0281 3.4414 5.0994
0.0000 -0.0783 5.0357
0.0000 4.6724 1.7036
```

Results
raw formation energy = -2.035 eV/atom
total DFT energy (no corrections) = -6.6289 eV per atom
space group = P2/m (10)